Record 1
Sr3Zn4Pd2, optimized geometry, DFT PBE-GGA; formation enthalpy at 0 K = -0.425 eV per atom; energy above the most stable polymorph in this dataset = 17 meV/atom
1.0
-1.720 -3.254 2.523
5.498 -1.495 -2.126
1.003 5.367 7.605
Sr Zn Pd
3 4 2
Cartesian
0.000 0.000 0.000
3.813 -0.690 1.710
0.967 1.309 6.293
3.044 -0.824 4.958
1.291 -2.718 1.322
1.737 1.442 3.044
3.490 3.336 6.681
0.946 -1.027 3.267
3.835 1.645 4.736



Record 2
Hf2MnHPt, optimized geometry, DFT PBE-GGA; DFT total energy = -8.218 eV/atom
1.0
4.462 0.000 0.000
0.000 4.462 0.000
0.000 0.000 3.520
Hf Pt H Mn
2 1 1 1
Cartesian
2.231 0.000 0.000
0.000 2.231 0.000
2.231 2.231 1.760
0.000 0.000 0.000
0.000 0.000 1.760



Record 3
V2Mo, optimized geometry, DFT PBE-GGA; formation enthalpy at 0 K = -0.088 eV per atom; energy above the most stable polymorph in this dataset = 8 meV/atom
1.0
3.056 0.000 0.000
-1.528 4.663 -1.396
0.000 -0.340 6.090
V Mo
4 2
Cartesian
0.000 3.098 3.372
0.000 3.316 0.364
1.528 1.696 1.831
0.000 0.055 3.301
0.000 0.247 0.281
1.528 1.504 4.850



Record 4
Ni2PtRh5, optimized geometry, DFT PBE-GGA; formation enthalpy at 0 K = 0.011 eV per atom; energy above the most stable polymorph in this dataset = 0 meV/atom
1.0
1.623 3.360 -3.891
-0.933 -5.175 -1.121
-4.960 0.420 2.031
Rh Ni Pt
5 2 1
Cartesian
-3.445 -1.754 -1.288
-3.790 -0.847 1.218
-0.498 0.623 -1.743
-4.257 -3.434 0.657
-1.776 -3.644 -0.358
-2.978 0.833 -0.727
-0.965 -1.964 -2.304
-1.310 -1.057 0.202



Record 5
La2Ho3Tl3, optimized geometry, DFT PBE-GGA; formation enthalpy at 0 K = -0.249 eV per atom
1.0
4.969 0.000 0.000
0.000 5.118 0.000
0.000 0.000 9.331
La Tl Ho
2 3 3
Cartesian
0.000 0.000 6.970
0.000 0.000 2.362
0.000 2.559 4.666
2.484 0.000 4.666
0.000 2.559 0.000
2.484 2.559 2.529
2.484 2.559 6.802
2.484 0.000 0.000



Record 6
CsLaZnCl6, optimized geometry, DFT PBE-GGA; ΔE_f (raw) = -1.8696 eV/atom
1.0
-2.918 -0.991 6.280
-2.049 -3.866 -5.458
10.737 -10.413 3.346
Cl Cs La Zn
12 2 2 2
Cartesian
3.926 -9.865 2.511
7.239 -10.702 2.961
-0.340 -6.925 3.931
-1.929 -3.946 4.620
1.844 -5.405 1.657
6.110 -8.345 0.236
0.427 -2.099 2.806
-1.469 -4.568 1.207
3.967 -10.898 -0.834
1.803 -4.372 5.001
7.699 -11.324 -0.452
5.343 -13.171 1.361
0.000 0.000 0.000
5.368 -5.206 1.673
0.346 -5.511 -0.709
5.424 -9.759 4.877
5.714 -10.717 0.964
0.056 -4.553 3.204



Copy entry 1 word for word.
Sr3Zn4Pd2, optimized geometry, DFT PBE-GGA; formation enthalpy at 0 K = -0.425 eV per atom; energy above the most stable polymorph in this dataset = 17 meV/atom
1.0
-1.720 -3.254 2.523
5.498 -1.495 -2.126
1.003 5.367 7.605
Sr Zn Pd
3 4 2
Cartesian
0.000 0.000 0.000
3.813 -0.690 1.710
0.967 1.309 6.293
3.044 -0.824 4.958
1.291 -2.718 1.322
1.737 1.442 3.044
3.490 3.336 6.681
0.946 -1.027 3.267
3.835 1.645 4.736



Number 3 is which compound?
V2Mo



Which formula does entry 5 have?
La2Ho3Tl3